# SrPaAs2Ir (PBE-GGA, relaxed)
# - DOS(E_F): 1.2 states/eV/f.u.
# - Space group: P3m1, No. 156
# - DFT formation energy: -0.709 eV/atom
# - Magnetization: 0.0 μB per cell
data_SrPaAs2Ir
_cell_length_a 4.364
_cell_length_b 4.364
_cell_length_c 7.960
_cell_angle_alpha 90.00
_cell_angle_beta 90.00
_cell_angle_gamma 120.00
_space_group_name_H-M_alt 'P 1'
_space_group_IT_number 1
loop_
_space_group_symop_operation_xyz
'x,y,z'
loop_
_atom_site_label
_atom_site_fract_x
_atom_site_fract_y
_atom_site_fract_z
_atom_site_occupancy
Sr1 0.000 0.000 0.979 1
Pa1 0.667 0.333 0.426 1
As1 0.333 0.667 0.244 1
As2 0.667 0.333 0.767 1
Ir1 0.333 0.667 0.584 1

---

# CaCdSi3 (PBE-GGA, relaxed)
# - DOS(E_F): 6.2 states/eV/f.u.
# - Space group: Pm-3m, No. 221
# - Formation energy (no corrections): 6.893 eV per formula unit
# - Magnetization: 0.9 μB per cell
data_CaCdSi3
_cell_length_a 5.368
_cell_length_b 5.368
_cell_length_c 5.368
_cell_angle_alpha 90.00
_cell_angle_beta 90.00
_cell_angle_gamma 90.00
_space_group_name_H-M_alt 'P 1'
_space_group_IT_number 1
loop_
_space_group_symop_operation_xyz
'x,y,z'
loop_
_atom_site_label
_atom_site_fract_x
_atom_site_fract_y
_atom_site_fract_z
_atom_site_occupancy
Ca1 0.000 0.000 0.000 1
Si1 0.000 0.500 0.000 1
Si2 0.000 0.000 0.500 1
Si3 0.500 0.000 0.000 1
Cd1 0.500 0.500 0.500 1

---

# Ag2Sn3Se6 (PBE-GGA, relaxed)
# - DOS(E_F): 2.4 states/eV/f.u.
# - Space group: C2/m, No. 12
# - Formation energy (no corrections): -3.363 eV per formula unit
# - Magnetization: 0.0 μB per cell
data_Ag2Sn3Se6
_cell_length_a 6.936
_cell_length_b 6.908
_cell_length_c 7.039
_cell_angle_alpha 80.29
_cell_angle_beta 70.37
_cell_angle_gamma 59.87
_space_group_name_H-M_alt 'P 1'
_space_group_IT_number 1
loop_
_space_group_symop_operation_xyz
'x,y,z'
loop_
_atom_site_label
_atom_site_fract_x
_atom_site_fract_y
_atom_site_fract_z
_atom_site_occupancy
Ag1 0.166 0.668 0.500 1
Ag2 0.834 0.332 0.500 1
Sn1 0.000 0.000 0.000 1
Sn2 0.333 0.335 0.000 1
Sn3 0.667 0.665 0.000 1
Se1 0.418 0.661 0.752 1
Se2 0.756 0.000 0.746 1
Se3 0.080 0.339 0.752 1
Se4 0.244 0.000 0.254 1
Se5 0.582 0.339 0.248 1
Se6 0.920 0.661 0.248 1

---

# Mg4HIr (PBE-GGA, relaxed)
# - DOS(E_F): 1.4 states/eV/f.u.
# - Space group: Cm, No. 8
# - Calculated total energy: -19.75 eV per cell
# - Magnetization: 0.0 μB per cell
data_Mg4HIr
_cell_length_a 6.704
_cell_length_b 5.169
_cell_length_c 5.170
_cell_angle_alpha 131.04
_cell_angle_beta 130.36
_cell_angle_gamma 49.64
_space_group_name_H-M_alt 'P 1'
_space_group_IT_number 1
loop_
_space_group_symop_operation_xyz
'x,y,z'
loop_
_atom_site_label
_atom_site_fract_x
_atom_site_fract_y
_atom_site_fract_z
_atom_site_occupancy
Mg1 0.655 0.096 0.297 1
Mg2 0.860 0.701 0.692 1
Mg3 0.281 0.872 0.521 1
Mg4 0.104 0.247 0.146 1
H1 0.660 0.525 0.867 1
Ir1 0.460 0.480 0.913 1